Record 1
! Hf3VP (PBE, relaxed); values from VASP
&SYSTEM
  ibrav = 0, nat = 5, ntyp = 3
/
ATOMIC_SPECIES
Hf 178.49 Hf.upf
V 50.94 V.upf
P 30.97 P.upf
ATOMIC_POSITIONS crystal
Hf 0.000 0.000 0.500
Hf 0.000 0.500 0.000
Hf 0.500 0.000 0.000
V 0.500 0.500 0.500
P 0.000 0.000 0.000
CELL_PARAMETERS angstrom
4.800 0.000 0.000
0.000 4.800 0.000
0.000 0.000 4.800
! energy relative to the lowest polymorph listed for this composition = 0.478 eV per atom
! energy of formation from the pure elements = 66 meV per atom
! N(E_F) = 1.26 states/eV per atom
! crystal system = cubic
! SG = Pm-3m

***

Record 2
! Hf2V3P2 (PBE, relaxed); values from VASP
&SYSTEM
  ibrav = 0, nat = 7, ntyp = 3
/
ATOMIC_SPECIES
Hf 178.49 Hf.upf
V 50.94 V.upf
P 30.97 P.upf
ATOMIC_POSITIONS crystal
Hf 0.127 0.127 0.289
Hf 0.873 0.873 0.711
V 0.365 0.365 0.062
V 0.500 0.500 0.500
V 0.635 0.635 0.938
P 0.163 0.163 0.715
P 0.837 0.837 0.285
CELL_PARAMETERS angstrom
4.833 -1.723 0.000
4.833 1.723 0.000
-2.820 0.000 6.372
! energy of formation from the pure elements = -842 meV per atom
! N(E_F) = 0.48 states/eV per atom
! crystal system = monoclinic
! SG = C2/m

***

Record 3
! HfV3P (PBE, relaxed); values from VASP
&SYSTEM
  ibrav = 0, nat = 20, ntyp = 3
/
ATOMIC_SPECIES
Hf 178.49 Hf.upf
V 50.94 V.upf
P 30.97 P.upf
ATOMIC_POSITIONS crystal
Hf 0.164 0.250 0.010
Hf 0.336 0.750 0.510
Hf 0.664 0.250 0.490
Hf 0.836 0.750 0.990
V 0.055 0.250 0.415
V 0.099 0.750 0.235
V 0.153 0.750 0.787
V 0.347 0.250 0.287
V 0.401 0.250 0.735
V 0.445 0.750 0.915
V 0.555 0.250 0.085
V 0.599 0.750 0.265
V 0.653 0.750 0.713
V 0.847 0.250 0.213
V 0.901 0.250 0.765
V 0.945 0.750 0.585
P 0.144 0.250 0.630
P 0.356 0.750 0.130
P 0.644 0.250 0.870
P 0.856 0.750 0.370
CELL_PARAMETERS angstrom
8.259 0.000 0.000
0.000 3.305 0.000
0.000 0.000 10.918
! energy relative to the lowest polymorph listed for this composition = 0.000 eV per atom
! energy of formation from the pure elements = -580 meV per atom
! N(E_F) = 0.82 states/eV per atom
! crystal system = orthorhombic
! SG = Pnma

***

Record 4
! HfV4P2 (PBE, relaxed); values from VASP
&SYSTEM
  ibrav = 0, nat = 14, ntyp = 3
/
ATOMIC_SPECIES
Hf 178.49 Hf.upf
V 50.94 V.upf
P 30.97 P.upf
ATOMIC_POSITIONS crystal
Hf 0.000 0.000 0.000
Hf 0.500 0.500 0.500
V 0.082 0.330 0.500
V 0.170 0.582 0.000
V 0.330 0.082 0.500
V 0.418 0.830 0.000
V 0.582 0.170 0.000
V 0.670 0.918 0.500
V 0.830 0.418 0.000
V 0.918 0.670 0.500
P 0.198 0.802 0.500
P 0.302 0.302 0.000
P 0.698 0.698 0.000
P 0.802 0.198 0.500
CELL_PARAMETERS angstrom
7.773 0.000 0.000
0.000 7.773 0.000
0.000 0.000 3.286
! energy of formation from the pure elements = -738 meV per atom
! N(E_F) = 0.67 states/eV per atom
! crystal system = tetragonal
! SG = P4_2/mnm